# SmHgSeO

SmHgSeO after structural relaxation (PBE-GGA, the Open Quantum Materials Database).

The structure in CIF format:
```
data_SmHgSeO
_chemical_formula_sum 'Sm2 Hg2 Se2 O2'
_symmetry_space_group_name_H-M 'P 1'
_symmetry_Int_Tables_number 1
_cell_length_a 4.924
_cell_length_b 8.964
_cell_length_c 5.442
_cell_angle_alpha 90.00
_cell_angle_beta 90.00
_cell_angle_gamma 90.00
loop_
_symmetry_equiv_pos_as_xyz
'x,y,z'
loop_
_atom_site_label
_atom_site_type_symbol
_atom_site_fract_x
_atom_site_fract_y
_atom_site_fract_z
_atom_site_occupancy
Hg1 Hg 0.000 0.309 0.133 1
Hg2 Hg 0.000 0.691 0.633 1
O1 O 0.500 0.088 0.168 1
O2 O 0.500 0.912 0.668 1
Se1 Se 0.000 0.692 0.138 1
Se2 Se 0.000 0.308 0.638 1
Sm1 Sm 0.500 0.861 0.051 1
Sm2 Sm 0.500 0.139 0.551 1
```

Values from the calculation:
Space group: Pmc2_1, No. 26
Magnetic moment, μB/f.u.: 0.00
Energy above the lowest structure with this stoichiometry, eV/atom: 0.2620